Crystalline RbTaI2N at its relaxed geometry, computed with PBE.

a b c (Å): 6.2024 6.2024 4.1212
angles (deg): 90.00 90.00 90.00
Atoms (fractional coordinates):
I 0.0000 0.5000 0.0000
I 0.5000 0.0000 0.0000
N 0.0000 0.0000 0.5000
Rb 0.0000 0.0000 0.0000
Ta 0.5000 0.5000 0.5000

Output
E_form (uncorrected) ... 2218 meV per atom
Theoretical density ... 5.60 g cm⁻³
E above lowest polymorph ... 2641 meV per atom
Total energy ... -13.16 eV/f.u.